Entry 1:
The following is a PBE calculation of crystalline Sr2CuIrN at its relaxed geometry, from Alexandria via LeMat-Bulk.

Output
* raw formation energy: 1028 meV per atom
* offset from the most stable computed form: 7.09 eV per formula unit
* V: 27.435 Å³ per atom

Lattice parameters (Å, degrees): 5.535 5.535 4.478 90.00 90.00 90.00
Fractional coordinates of all 5 atoms:
Sr  0.000  0.500  0.000
Sr  0.500  0.000  0.000
Cu  0.000  0.000  0.000
Ir  0.000  0.000  0.500
N  0.500  0.500  0.500



Entry 2:
The following is a PBE calculation of crystalline NdAl6Pt3 at its relaxed geometry, from Alexandria via LeMat-Bulk.

Output
* formation energy: -0.9035 eV/atom
* V: 18.090 Å³ per atom

Lattice parameters (Å, degrees): 8.768 4.304 9.598 90.00 92.69 90.00
Fractional coordinates of all 20 atoms:
Nd  0.051  0.250  0.301
Nd  0.949  0.750  0.699
Al  0.109  0.750  0.032
Al  0.199  0.250  0.627
Al  0.300  0.750  0.263
Al  0.315  0.750  0.789
Al  0.429  0.250  0.426
Al  0.467  0.250  0.909
Al  0.533  0.750  0.091
Al  0.571  0.750  0.574
Al  0.685  0.250  0.211
Al  0.700  0.250  0.737
Al  0.801  0.750  0.373
Al  0.891  0.250  0.968
Pt  0.176  0.250  0.891
Pt  0.282  0.750  0.519
Pt  0.392  0.250  0.157
Pt  0.608  0.750  0.843
Pt  0.718  0.250  0.481
Pt  0.824  0.750  0.109



Entry 3:
The following is a PBE calculation of crystalline RbHgPtRh2 at its relaxed geometry, from Alexandria via LeMat-Bulk.

Output
* formation energy: 0.7159 eV/atom
* V: 26.398 Å³ per atom

Lattice parameters (Å, degrees): 4.985 4.985 5.312 90.00 90.00 90.00
Fractional coordinates of all 5 atoms:
Rb  0.000  0.000  0.000
Hg  0.500  0.500  0.000
Pt  0.500  0.500  0.500
Rh  0.000  0.500  0.500
Rh  0.500  0.000  0.500



Entry 4:
The following is a PBE calculation of crystalline TaCr2Cl at its relaxed geometry, from Alexandria via LeMat-Bulk.

Output
* raw formation energy: 332 meV per atom
* offset from the most stable computed form: 0.97 eV per formula unit
* V: 15.534 Å³ per atom

Lattice parameters (Å, degrees): 3.084 4.841 8.325 90.00 90.00 90.00
Fractional coordinates of all 8 atoms:
Ta  0.000  0.000  0.000
Ta  0.500  0.500  0.000
Cr  0.000  0.000  0.539
Cr  0.000  0.500  0.732
Cr  0.500  0.000  0.732
Cr  0.500  0.500  0.539
Cl  0.000  0.500  0.249
Cl  0.500  0.000  0.249